# HfFeCuPb

A relaxed HfFeCuPb crystal (PBE-GGA, OQMD via LeMat-Bulk).

distance to the lowest polymorph of the same formula	0.0000	eV/atom
V	263.4	Å³ per cell

Lattice parameters (Å, degrees): 6.4104 6.4104 6.4104 90.00 90.00 90.00
Space group F-43m (No. 216)
Symmetry-distinct sites (fractional):
Hf (0.0000, 0.0000, 0.0000) [4 per cell]
Fe (0.2500, 0.2500, 0.2500) [4 per cell]
Cu (0.2500, 0.2500, 0.7500) [4 per cell]
Pb (0.0000, 0.0000, 0.5000) [4 per cell]